5
Lattice="4.113 0.000 0.000 0.000 4.113 0.000 0.000 0.000 3.859" Properties=species:S:1:pos:R:3 comment="ScSO2F | the Alexandria database | SCAN | single point on PBEsol structure" e_form_raw_ev_per_atom=-1.49 dos_at_fermi_per_ev_cell=2.44 dft_energy_ev_per_atom=-9.46 total_magnetization_mub_per_fu=0.00 pbc="T T T"
Sc 0.000 0.000 0.000
S 2.057 2.057 1.929
O 0.000 2.057 0.000
O 2.057 0.000 0.000
F 0.000 0.000 1.929